Below is a relaxed structure of NpGeIrO6, with properties calculated at the PBE level.

a b c (Å): 5.2839 5.2839 8.6197
angles (deg): 90.00 90.00 120.00
Last column: nearest neighbours and their distance in Å.
Fractional positions:
Np 0.3333 0.6667 0.2500  6 O 2.15
Np 0.6667 0.3333 0.7500  6 O 2.15
Ge 0.3333 0.6667 0.7500  6 O 1.95
Ge 0.6667 0.3333 0.2500  6 O 1.95
Ir 0.0000 0.0000 0.0000  6 O 2.09
Ir 0.0000 0.0000 0.5000  6 O 2.09
O 0.0295 0.3511 0.6264  1 Ge 1.95, 1 Ir 2.09, 1 Np 2.15
O 0.0295 0.6785 0.8736  1 Ge 1.95, 1 Ir 2.09, 1 Np 2.15
O 0.3215 0.3511 0.8736  1 Ge 1.95, 1 Ir 2.09, 1 Np 2.15
O 0.3215 0.9705 0.6264  1 Ge 1.95, 1 Ir 2.09, 1 Np 2.15
O 0.3511 0.0295 0.1264  1 Ge 1.95, 1 Ir 2.09, 1 Np 2.15
O 0.3511 0.3215 0.3736  1 Ge 1.95, 1 Ir 2.09, 1 Np 2.15
O 0.6489 0.6785 0.6264  1 Ge 1.95, 1 Ir 2.09, 1 Np 2.15
O 0.6489 0.9705 0.8736  1 Ge 1.95, 1 Ir 2.09, 1 Np 2.15
O 0.6785 0.0295 0.3736  1 Ge 1.95, 1 Ir 2.09, 1 Np 2.15
O 0.6785 0.6489 0.1264  1 Ge 1.95, 1 Ir 2.09, 1 Np 2.15
O 0.9705 0.3215 0.1264  1 Ge 1.95, 1 Ir 2.09, 1 Np 2.15
O 0.9705 0.6489 0.3736  1 Ge 1.95, 1 Ir 2.09, 1 Np 2.15

Energy relative to the elements, uncorrected (eV per atom): -1.609
Total DFT energy (no corrections) (eV/cell): -141.3
Crystal system: trigonal
Space group: P-31c